(1)
The following is a PBE calculation of an optimized crystal structure of GdScIr, from the Open Quantum Materials Database.

Unit cell a=4.5501 b=4.5501 c=4.5501 alpha=60.00 beta=60.00 gamma=60.00
Closest atoms and distances in Å follow each position.
Element x y z (fractional)
Sc1 0.0000 0.0000 0.0000  4 Gd 2.79, 4 Ir 2.79
Ir1 0.7500 0.7500 0.7500  4 Sc 2.79
Gd1 0.2500 0.2500 0.2500  4 Sc 2.79

Output
E_tot	-6.61	eV per atom
formation enthalpy at 0 K	2.9	meV per atom
SG	F-43m, No. 216
size of the total moment	0.02	μB per formula unit

=====

(2)
The following is a PBE calculation of an optimized crystal structure of TbIn, from the Open Quantum Materials Database.

Unit cell a=4.4110 b=4.4110 c=4.4110 alpha=60.00 beta=60.00 gamma=60.00
Closest atoms and distances in Å follow each position.
Element x y z (fractional)
Tb1 0.5000 0.5000 0.5000  6 In 3.12
In1 0.0000 0.0000 0.0000  6 Tb 3.12

Output
E_tot	-3.77	eV per atom
SG	Fm-3m, No. 225
size of the total moment	0.36	μB per formula unit

=====

(3)
The following is a PBE calculation of an optimized crystal structure of NaSrTaPt, from the Open Quantum Materials Database.

Unit cell a=4.8758 b=4.8758 c=4.8758 alpha=60.00 beta=60.00 gamma=60.00
Closest atoms and distances in Å follow each position.
Element x y z (fractional)
Pt1 0.5000 0.5000 0.5000  4 Na 2.99, 4 Ta 2.99
Na1 0.7500 0.7500 0.7500  4 Pt 2.99, 4 Sr 2.99
Sr1 0.0000 0.0000 0.0000  4 Ta 2.99, 4 Na 2.99
Ta1 0.2500 0.2500 0.2500  4 Sr 2.99, 4 Pt 2.99

Output
E_tot	-4.74	eV per atom
SG	F-43m, No. 216
size of the total moment	0.00	μB per formula unit

=====

(4)
The following is a PBE calculation of an optimized crystal structure of FeSi2C, from the Open Quantum Materials Database.

Unit cell a=5.5660 b=5.5581 c=5.3997 alpha=90.00 beta=90.00 gamma=90.00
Closest atoms and distances in Å follow each position.
Element x y z (fractional)
Si1 0.1792 0.0449 0.8515  2 C 1.90-2.06
Si2 0.3208 0.9551 0.3515  2 C 1.90-2.06
Si3 0.3208 0.5449 0.3515  2 C 1.90-2.06
Si4 0.6792 0.4551 0.6485  2 C 1.90-2.06
Si5 0.8208 0.5449 0.1485  2 C 1.90-2.06
Si6 0.6792 0.0449 0.6485  2 C 1.90-2.06
Si7 0.1792 0.4551 0.8515  2 C 1.90-2.06
Si8 0.8208 0.9551 0.1485  2 C 1.90-2.06
C1 0.0110 0.7500 0.8982  4 Si 1.90-2.06
C2 0.9890 0.2500 0.1017  4 Si 1.90-2.06
C3 0.4890 0.2500 0.3983  4 Si 1.90-2.06
C4 0.5110 0.7500 0.6017  4 Si 1.90-2.06
Fe1 0.4272 0.7500 0.9939  2 C 2.17-2.37, 4 Si 2.28-2.32
Fe2 0.0728 0.2500 0.4939  2 C 2.17-2.37, 4 Si 2.28-2.32
Fe3 0.9272 0.7500 0.5061  2 C 2.17-2.37, 4 Si 2.28-2.32
Fe4 0.5728 0.2500 0.0061  2 C 2.17-2.37, 4 Si 2.28-2.32

Output
E_tot	-6.81	eV per atom
SG	Pnma, No. 62
size of the total moment	0.00	μB per formula unit

=====

(5)
The following is a PBE calculation of an optimized crystal structure of BaTm2S4, from the Open Quantum Materials Database.

Unit cell a=12.2269 b=4.0007 c=14.4031 alpha=90.00 beta=90.00 gamma=90.00
Closest atoms and distances in Å follow each position.
Element x y z (fractional)
Tm1 0.0786 0.7500 0.6015  6 S 2.69-2.75
Tm2 0.4214 0.2500 0.1015  6 S 2.69-2.75
Tm3 0.9214 0.2500 0.3985  6 S 2.69-2.75
Tm4 0.0660 0.7500 0.1090  6 S 2.67-2.74
Tm5 0.5660 0.7500 0.3910  6 S 2.67-2.74
Tm6 0.9340 0.2500 0.8910  6 S 2.67-2.74
Tm7 0.4340 0.2500 0.6090  6 S 2.67-2.74
Tm8 0.5786 0.7500 0.8985  6 S 2.69-2.75
Ba1 0.7426 0.7500 0.1613  8 S 3.19-3.36
Ba2 0.2574 0.2500 0.8387  8 S 3.19-3.36
Ba3 0.2426 0.7500 0.3387  8 S 3.19-3.36
Ba4 0.7574 0.2500 0.6613  8 S 3.19-3.36
S1 0.7929 0.7500 0.8398  3 Tm 2.74-2.75
S2 0.1224 0.2500 0.4773  3 Tm 2.71-2.74
S3 0.5806 0.7500 0.5759  3 Tm 2.67-2.73
S4 0.4770 0.7500 0.2169  3 Tm 2.69-2.73
S5 0.2929 0.7500 0.6602  3 Tm 2.74-2.75
S6 0.4194 0.2500 0.4241  3 Tm 2.67-2.73
S7 0.8776 0.7500 0.5227  3 Tm 2.71-2.74
S8 0.5230 0.2500 0.7831  3 Tm 2.69-2.73
S9 0.9770 0.7500 0.2831  3 Tm 2.69-2.73
S10 0.2071 0.2500 0.1602  3 Tm 2.74-2.75
S11 0.0230 0.2500 0.7169  3 Tm 2.69-2.73
S12 0.6224 0.2500 0.0227  3 Tm 2.71-2.74
S13 0.9194 0.2500 0.0759  3 Tm 2.67-2.73
S14 0.7071 0.2500 0.3398  3 Tm 2.74-2.75
S15 0.3776 0.7500 0.9773  3 Tm 2.71-2.74
S16 0.0806 0.7500 0.9241  3 Tm 2.67-2.73

Output
E_tot	-6.05	eV per atom
SG	Pnma, No. 62
size of the total moment	0.00	μB per formula unit

=====

(6)
The following is a PBE calculation of an optimized crystal structure of TmTcW, from the Open Quantum Materials Database.

Unit cell a=4.4467 b=4.4467 c=4.4467 alpha=60.00 beta=60.00 gamma=60.00
Closest atoms and distances in Å follow each position.
Element x y z (fractional)
Tm1 0.7500 0.7500 0.7500  4 W 2.72
W1 0.0000 0.0000 0.0000  4 Tc 2.72, 4 Tm 2.72
Tc1 0.2500 0.2500 0.2500  4 W 2.72

Output
E_tot	-8.59	eV per atom
formation enthalpy at 0 K	679.8	meV per atom
SG	F-43m, No. 216
size of the total moment	0.00	μB per formula unit